The following is a DFT calculation (GGA-PBEsol) of a relaxed structure of Cr3GaSb.

Cell and atoms, written as POSCAR:
```
Cr3GaSb
1.0
4.607 0.000 0.000
0.000 4.607 0.000
0.000 0.000 4.607
Cr Ga Sb
3 1 1
Direct
0.000 0.000 0.500
0.000 0.500 0.000
0.500 0.000 0.000
0.000 0.000 0.000
0.500 0.500 0.500
```

Computed properties:
N(E_F) ... 6.07 states/eV per cell
M_tot ... 10.2 μB/f.u.
Calculated volume ... 98 Å³/cell
Uncorrected formation energy ... 1.029 eV/atom
Space group ... Pm-3m (221)